Computed, not measured: a geometry-optimized Li2MnCu3O8 structure at the PBE with a Hubbard U level of DFT.

```
Li2MnCu3O8
1.0
2.9447 1.7001 4.7652
-2.9447 1.7001 4.7652
0.0000 -3.4003 4.7652
Li Mn Cu O
2 1 3 8
Cartesian
0.0000 0.0000 1.8028
0.0000 0.0000 12.4928
0.0000 0.0000 7.1478
-1.4724 -0.8501 4.7652
-1.4724 0.8501 9.5304
0.0000 1.7001 4.7652
0.0000 0.0000 3.7987
0.0000 -1.5209 5.9571
-1.3171 0.7604 5.9571
-1.3171 -0.7604 8.3385
1.3171 0.7604 5.9571
1.3171 -0.7604 8.3385
0.0000 1.5209 8.3385
0.0000 0.0000 10.4970
```

Computed properties:
Magnetization = 0.56 μB/atom
ρ = 4.5 g/cm3
ΔE to the lowest computed polymorph = 0.00 kcal/mol of atoms
Space-group type = R-3m, No. 166